# Li5Cu4 PBEsol relaxed
# **Magnetization**: 0.00 μB per formula unit
# **Density of states at the Fermi level**: 6.0 states/eV/cell
# **Energy of formation**: 0.031 eV/atom
# **ΔE to the lowest computed polymorph**: 0.000 eV per atom
data_Li5Cu4
_chemical_formula_sum 'Li10 Cu8'
_cell_length_a 7.8862
_cell_length_b 7.8862
_cell_length_c 3.7858
_cell_angle_alpha 90.00
_cell_angle_beta 90.00
_cell_angle_gamma 90.00
_space_group_name_H-M_alt 'I 4/m m m'
_space_group_IT_number 139
_space_group_name_Hall '-I 4 2'
loop_
_atom_site_label
_atom_site_fract_x
_atom_site_fract_y
_atom_site_fract_z
_atom_site_occupancy
Li1 0.0000 0.0000 0.0000 1
Li2 0.1751 0.1751 0.5000 1
Cu1 0.0000 0.3472 0.0000 1

---

# SrBNO2 PBEsol relaxed
# **Magnetization**: 4.00 μB per formula unit
# **Density of states at the Fermi level**: 3.0 states/eV/cell
# **Formation energy from raw total energies**: 1.542 eV/atom
data_SrBNO2
_chemical_formula_sum 'Sr1 B1 N1 O2'
_cell_length_a 4.5748
_cell_length_b 4.5748
_cell_length_c 4.8926
_cell_angle_alpha 90.00
_cell_angle_beta 90.00
_cell_angle_gamma 90.00
_space_group_name_H-M_alt 'P 4/m m m'
_space_group_IT_number 123
_space_group_name_Hall '-P 4 2'
loop_
_atom_site_label
_atom_site_fract_x
_atom_site_fract_y
_atom_site_fract_z
_atom_site_occupancy
Sr1 0.0000 0.0000 0.0000 1
B1 0.5000 0.5000 0.5000 1
N1 0.0000 0.0000 0.5000 1
O1 0.0000 0.5000 0.0000 1

---

# ScCo2Sn2 PBEsol relaxed
# **Magnetization**: 0.00 μB per formula unit
# **Density of states at the Fermi level**: 5.8 states/eV/cell
# **Energy of formation**: -0.141 eV/atom
data_ScCo2Sn2
_chemical_formula_sum 'Sc2 Co4 Sn4'
_cell_length_a 3.9963
_cell_length_b 3.9963
_cell_length_c 11.0848
_cell_angle_alpha 90.00
_cell_angle_beta 90.00
_cell_angle_gamma 90.00
_space_group_name_H-M_alt 'I 4/m m m'
_space_group_IT_number 139
_space_group_name_Hall '-I 4 2'
loop_
_atom_site_label
_atom_site_fract_x
_atom_site_fract_y
_atom_site_fract_z
_atom_site_occupancy
Sc1 0.0000 0.0000 0.0000 1
Co1 0.0000 0.5000 0.2500 1
Sn1 0.0000 0.0000 0.3761 1

---

# Sr3SnPb PBEsol relaxed
# **Magnetization**: 0.76 μB per formula unit
# **Density of states at the Fermi level**: 8.0 states/eV/cell
# **Energy of formation**: -0.139 eV/atom
data_Sr3SnPb
_chemical_formula_sum 'Sr3 Sn1 Pb1'
_cell_length_a 6.1672
_cell_length_b 6.1672
_cell_length_c 6.1672
_cell_angle_alpha 90.00
_cell_angle_beta 90.00
_cell_angle_gamma 90.00
_space_group_name_H-M_alt 'P m -3 m'
_space_group_IT_number 221
_space_group_name_Hall '-P 4 2 3'
loop_
_atom_site_label
_atom_site_fract_x
_atom_site_fract_y
_atom_site_fract_z
_atom_site_occupancy
Sr1 0.0000 0.0000 0.5000 1
Sn1 0.0000 0.0000 0.0000 1
Pb1 0.5000 0.5000 0.5000 1

---

# BaInAs PBEsol relaxed
# **Magnetization**: 0.00 μB per formula unit
# **Energy of formation**: -0.706 eV/atom
data_BaInAs
_chemical_formula_sum 'Ba1 In1 As1'
_cell_length_a 4.4620
_cell_length_b 4.4620
_cell_length_c 5.5472
_cell_angle_alpha 90.00
_cell_angle_beta 90.00
_cell_angle_gamma 120.00
_space_group_name_H-M_alt 'P 3 m 1'
_space_group_IT_number 156
_space_group_name_Hall 'P 3 -2"'
loop_
_atom_site_label
_atom_site_fract_x
_atom_site_fract_y
_atom_site_fract_z
_atom_site_occupancy
Ba1 0.0000 0.0000 0.0000 1
In1 0.3333 0.6667 0.5628 1
As1 0.6667 0.3333 0.3511 1

---

# Sb2PbSeI PBEsol relaxed
# **Magnetization**: 0.00 μB per formula unit
# **Density of states at the Fermi level**: 5.6 states/eV/cell
# **Formation energy from raw total energies**: 0.435 eV/atom
data_Sb2PbSeI
_chemical_formula_sum 'Sb2 Pb1 Se1 I1'
_cell_length_a 5.4258
_cell_length_b 5.4258
_cell_length_c 5.4568
_cell_angle_alpha 90.00
_cell_angle_beta 90.00
_cell_angle_gamma 90.00
_space_group_name_H-M_alt 'P 4/m m m'
_space_group_IT_number 123
_space_group_name_Hall '-P 4 2'
loop_
_atom_site_label
_atom_site_fract_x
_atom_site_fract_y
_atom_site_fract_z
_atom_site_occupancy
Sb1 0.0000 0.5000 0.0000 1
Pb1 0.0000 0.0000 0.5000 1
Se1 0.5000 0.5000 0.0000 1
I1 0.5000 0.5000 0.5000 1

---

# Li2TlHg PBEsol relaxed
# **Magnetization**: 0.00 μB per formula unit
# **Density of states at the Fermi level**: 1.5 states/eV/cell
# **Energy of formation**: -0.341 eV/atom
data_Li2TlHg
_chemical_formula_sum 'Li2 Tl1 Hg1'
_cell_length_a 3.4296
_cell_length_b 3.4296
_cell_length_c 6.3283
_cell_angle_alpha 90.00
_cell_angle_beta 90.00
_cell_angle_gamma 90.00
_space_group_name_H-M_alt 'P 4/m m m'
_space_group_IT_number 123
_space_group_name_Hall '-P 4 2'
loop_
_atom_site_label
_atom_site_fract_x
_atom_site_fract_y
_atom_site_fract_z
_atom_site_occupancy
Li1 0.0000 0.0000 0.2391 1
Tl1 0.5000 0.5000 0.5000 1
Hg1 0.5000 0.5000 0.0000 1

---

# OsPbCl2 PBEsol relaxed
# **Magnetization**: 1.30 μB per formula unit
# **Density of states at the Fermi level**: 3.5 states/eV/cell
# **Formation energy from raw total energies**: 0.650 eV/atom
# **ΔE to the lowest computed polymorph**: 0.284 eV per atom
data_OsPbCl2
_chemical_formula_sum 'Os1 Pb1 Cl2'
_cell_length_a 3.0628
_cell_length_b 4.5500
_cell_length_c 5.5306
_cell_angle_alpha 90.00
_cell_angle_beta 90.00
_cell_angle_gamma 90.00
_space_group_name_H-M_alt 'P m m m'
_space_group_IT_number 47
_space_group_name_Hall '-P 2 2'
loop_
_atom_site_label
_atom_site_fract_x
_atom_site_fract_y
_atom_site_fract_z
_atom_site_occupancy
Os1 0.0000 0.0000 0.0000 1
Pb1 0.5000 0.0000 0.5000 1
Cl1 0.0000 0.5000 0.5000 1
Cl2 0.5000 0.5000 0.0000 1

---

# BaTaZn PBEsol relaxed
# **Magnetization**: 0.00 μB per formula unit
# **Density of states at the Fermi level**: 2.7 states/eV/cell
# **Energy of formation**: 0.895 eV/atom
data_BaTaZn
_chemical_formula_sum 'Ba1 Ta1 Zn1'
_cell_length_a 5.0608
_cell_length_b 5.0608
_cell_length_c 3.1025
_cell_angle_alpha 90.00
_cell_angle_beta 90.00
_cell_angle_gamma 120.00
_space_group_name_H-M_alt 'P -6 m 2'
_space_group_IT_number 187
_space_group_name_Hall 'P -6 2'
loop_
_atom_site_label
_atom_site_fract_x
_atom_site_fract_y
_atom_site_fract_z
_atom_site_occupancy
Ba1 0.0000 0.0000 0.0000 1
Ta1 0.3333 0.6667 0.5000 1
Zn1 0.6667 0.3333 0.5000 1

---

# Li2La2In PBEsol relaxed
# **Magnetization**: 0.00 μB per formula unit
# **Density of states at the Fermi level**: 8.7 states/eV/cell
# **Energy of formation**: -0.171 eV/atom
data_Li2La2In
_chemical_formula_sum 'Li4 La4 In2'
_cell_length_a 6.9952
_cell_length_b 6.9952
_cell_length_c 5.1016
_cell_angle_alpha 90.00
_cell_angle_beta 90.00
_cell_angle_gamma 90.00
_space_group_name_H-M_alt 'P 4/m b m'
_space_group_IT_number 127
_space_group_name_Hall '-P 4 2ab'
loop_
_atom_site_label
_atom_site_fract_x
_atom_site_fract_y
_atom_site_fract_z
_atom_site_occupancy
Li1 0.1314 0.3686 0.0000 1
La1 0.1821 0.6821 0.5000 1
In1 0.0000 0.0000 0.0000 1

---

# AgPb PBEsol relaxed
# **Magnetization**: 0.00 μB per formula unit
# **Density of states at the Fermi level**: 2.5 states/eV/cell
# **Energy of formation**: 0.068 eV/atom
data_AgPb
_chemical_formula_sum 'Ag4 Pb4'
_cell_length_a 3.6432
_cell_length_b 10.8825
_cell_length_c 4.6100
_cell_angle_alpha 90.00
_cell_angle_beta 90.00
_cell_angle_gamma 90.00
_space_group_name_H-M_alt 'C m c m'
_space_group_IT_number 63
_space_group_name_Hall '-C 2c 2'
loop_
_atom_site_label
_atom_site_fract_x
_atom_site_fract_y
_atom_site_fract_z
_atom_site_occupancy
Ag1 0.0000 0.0760 0.2500 1
Pb1 0.0000 0.3502 0.2500 1

---

# CuP2Ru PBEsol relaxed
# **Magnetization**: 0.00 μB per formula unit
# **Density of states at the Fermi level**: 4.5 states/eV/cell
# **Energy of formation**: 0.216 eV/atom
# **ΔE to the lowest computed polymorph**: 0.314 eV per atom
data_CuP2Ru
_chemical_formula_sum 'Cu2 P4 Ru2'
_cell_length_a 2.7705
_cell_length_b 4.8684
_cell_length_c 7.8515
_cell_angle_alpha 90.00
_cell_angle_beta 90.00
_cell_angle_gamma 90.00
_space_group_name_H-M_alt 'C m m m'
_space_group_IT_number 65
_space_group_name_Hall '-C 2 2'
loop_
_atom_site_label
_atom_site_fract_x
_atom_site_fract_y
_atom_site_fract_z
_atom_site_occupancy
Cu1 0.0000 0.0000 0.0000 1
P1 0.0000 0.5000 0.2534 1
Ru1 0.0000 0.0000 0.5000 1

---

# Fe2AgIr PBEsol relaxed
# **Magnetization**: 4.71 μB per formula unit
# **Density of states at the Fermi level**: 5.5 states/eV/cell
# **Energy of formation**: 0.296 eV/atom
data_Fe2AgIr
_chemical_formula_sum 'Fe2 Ag1 Ir1'
_cell_length_a 2.6402
_cell_length_b 4.0638
_cell_length_c 5.0975
_cell_angle_alpha 90.00
_cell_angle_beta 104.98
_cell_angle_gamma 90.00
_space_group_name_H-M_alt 'P 1 m 1'
_space_group_IT_number 6
_space_group_name_Hall 'P -2y'
loop_
_atom_site_label
_atom_site_fract_x
_atom_site_fract_y
_atom_site_fract_z
_atom_site_occupancy
Fe1 0.0000 0.0000 0.0000 1
Fe2 0.1248 0.5000 0.2548 1
Ag1 0.3852 0.5000 0.7714 1
Ir1 0.7225 0.0000 0.4482 1

---

# Ca3SeF PBEsol relaxed
# **Magnetization**: 1.89 μB per formula unit
# **Density of states at the Fermi level**: 5.4 states/eV/cell
# **Formation energy from raw total energies**: -1.266 eV/atom
data_Ca3SeF
_chemical_formula_sum 'Ca3 Se1 F1'
_cell_length_a 4.9101
_cell_length_b 4.9101
_cell_length_c 4.9101
_cell_angle_alpha 90.00
_cell_angle_beta 90.00
_cell_angle_gamma 90.00
_space_group_name_H-M_alt 'P m -3 m'
_space_group_IT_number 221
_space_group_name_Hall '-P 4 2 3'
loop_
_atom_site_label
_atom_site_fract_x
_atom_site_fract_y
_atom_site_fract_z
_atom_site_occupancy
Ca1 0.0000 0.0000 0.5000 1
Se1 0.5000 0.5000 0.5000 1
F1 0.0000 0.0000 0.0000 1

---

# KSr2Cu PBEsol relaxed
# **Magnetization**: 0.00 μB per formula unit
# **Density of states at the Fermi level**: 3.3 states/eV/cell
# **Energy of formation**: 0.386 eV/atom
# **ΔE to the lowest computed polymorph**: 0.309 eV per atom
data_KSr2Cu
_chemical_formula_sum 'K1 Sr2 Cu1'
_cell_length_a 5.5880
_cell_length_b 5.5880
_cell_length_c 4.8185
_cell_angle_alpha 90.00
_cell_angle_beta 90.00
_cell_angle_gamma 90.00
_space_group_name_H-M_alt 'P 4/m m m'
_space_group_IT_number 123
_space_group_name_Hall '-P 4 2'
loop_
_atom_site_label
_atom_site_fract_x
_atom_site_fract_y
_atom_site_fract_z
_atom_site_occupancy
K1 0.0000 0.0000 0.0000 1
Sr1 0.0000 0.5000 0.5000 1
Cu1 0.5000 0.5000 0.0000 1

---

# LiLaFe2 PBEsol relaxed
# **Magnetization**: 3.91 μB per formula unit
# **Density of states at the Fermi level**: 7.4 states/eV/cell
# **Energy of formation**: 0.523 eV/atom
# **ΔE to the lowest computed polymorph**: 0.188 eV per atom
data_LiLaFe2
_chemical_formula_sum 'Li2 La2 Fe4'
_cell_length_a 3.9083
_cell_length_b 3.9083
_cell_length_c 8.3568
_cell_angle_alpha 90.00
_cell_angle_beta 90.00
_cell_angle_gamma 90.00
_space_group_name_H-M_alt 'I 4/m m m'
_space_group_IT_number 139
_space_group_name_Hall '-I 4 2'
loop_
_atom_site_label
_atom_site_fract_x
_atom_site_fract_y
_atom_site_fract_z
_atom_site_occupancy
Li1 0.0000 0.0000 0.0000 1
La1 0.0000 0.0000 0.5000 1
Fe1 0.0000 0.5000 0.2500 1

---

# Ti3AgS6 PBEsol relaxed
# **Magnetization**: 0.00 μB per formula unit
# **Density of states at the Fermi level**: 10.0 states/eV/cell
# **Formation energy from raw total energies**: -1.207 eV/atom
data_Ti3AgS6
_chemical_formula_sum 'Ti9 Ag3 S18'
_cell_length_a 5.8386
_cell_length_b 5.8386
_cell_length_c 18.6677
_cell_angle_alpha 90.00
_cell_angle_beta 90.00
_cell_angle_gamma 120.00
_space_group_name_H-M_alt 'R -3'
_space_group_IT_number 148
_space_group_name_Hall '-R 3'
loop_
_atom_site_label
_atom_site_fract_x
_atom_site_fract_y
_atom_site_fract_z
_atom_site_occupancy
Ti1 0.0000 0.0000 0.0000 1
Ti2 0.0000 0.0000 0.3336 1
Ag1 0.0000 0.0000 0.5000 1
S1 0.0006 0.3408 0.4103 1

---

# CaZrSi4 PBEsol relaxed
# **Magnetization**: 0.00 μB per formula unit
# **Density of states at the Fermi level**: 15.4 states/eV/cell
# **Formation energy from raw total energies**: -0.240 eV/atom
data_CaZrSi4
_chemical_formula_sum 'Ca4 Zr4 Si16'
_cell_length_a 7.2955
_cell_length_b 7.2955
_cell_length_c 7.2955
_cell_angle_alpha 90.00
_cell_angle_beta 90.00
_cell_angle_gamma 90.00
_space_group_name_H-M_alt 'F -4 3 m'
_space_group_IT_number 216
_space_group_name_Hall 'F -4 2 3'
loop_
_atom_site_label
_atom_site_fract_x
_atom_site_fract_y
_atom_site_fract_z
_atom_site_occupancy
Ca1 0.0000 0.0000 0.0000 1
Zr1 0.2500 0.2500 0.7500 1
Si1 0.1232 0.1232 0.3768 1

---

# HfNb2V PBEsol relaxed
# **Magnetization**: 0.00 μB per formula unit
# **Density of states at the Fermi level**: 27.0 states/eV/cell
# **Energy of formation**: 0.142 eV/atom
data_HfNb2V
_chemical_formula_sum 'Hf4 Nb8 V4'
_cell_length_a 6.5036
_cell_length_b 6.5036
_cell_length_c 6.5036
_cell_angle_alpha 90.00
_cell_angle_beta 90.00
_cell_angle_gamma 90.00
_space_group_name_H-M_alt 'F m -3 m'
_space_group_IT_number 225
_space_group_name_Hall '-F 4 2 3'
loop_
_atom_site_label
_atom_site_fract_x
_atom_site_fract_y
_atom_site_fract_z
_atom_site_occupancy
Hf1 0.0000 0.0000 0.0000 1
Nb1 0.2500 0.2500 0.2500 1
V1 0.0000 0.0000 0.5000 1

---

# Tb3Cu4Ge4 PBEsol relaxed
# **Magnetization**: 0.00 μB per formula unit
# **Density of states at the Fermi level**: 10.4 states/eV/cell
# **Energy of formation**: -0.644 eV/atom
data_Tb3Cu4Ge4
_chemical_formula_sum 'Tb6 Cu8 Ge8'
_cell_length_a 3.9502
_cell_length_b 4.0700
_cell_length_c 24.1406
_cell_angle_alpha 90.00
_cell_angle_beta 90.00
_cell_angle_gamma 90.00
_space_group_name_H-M_alt 'I m m m'
_space_group_IT_number 71
_space_group_name_Hall '-I 2 2'
loop_
_atom_site_label
_atom_site_fract_x
_atom_site_fract_y
_atom_site_fract_z
_atom_site_occupancy
Tb1 0.0000 0.0000 0.0000 1
Tb2 0.0000 0.5000 0.1500 1
Cu1 0.0000 0.0000 0.2508 1
Cu2 0.0000 0.5000 0.4040 1
Ge1 0.0000 0.0000 0.4490 1
Ge2 0.0000 0.5000 0.3075 1